[1]
Density functional theory data (PBE) for a relaxed structure of AcPrGePt.

Summary:
The value obtained for the energy relative to the elements is -0.78 eV/atom. For the raw total energy, the calculation gives -5.66 eV/atom.

a = 7.545 Å, b = 7.545 Å, c = 7.545 Å
α = 90.00°, β = 90.00°, γ = 90.00°
Space group F-43m (No. 216)
Unique sites:
Ac (0.000, 0.000, 0.000)
Pr (0.000, 0.000, 0.500)
Ge (0.250, 0.250, 0.250)
Pt (0.250, 0.250, 0.750)

[2]
Density functional theory data (PBE) for a relaxed structure of Ac2PrGe3Pt12.

Summary:
The value obtained for the energy relative to the elements is -0.38 eV/atom. For the raw total energy, the calculation gives -5.90 eV/atom.

a = 8.4846 Å, b = 8.4846 Å, c = 19.1864 Å
α = 90.00°, β = 90.00°, γ = 120.00°
Space group R-3m (No. 166, hexagonal axes)
Unique sites:
Ac (0.0000, 0.0000, 0.1013)
Pr (0.0000, 0.0000, 0.5000)
Ge (0.0000, 0.5000, 0.0000)
Pt (0.0339, 0.5170, 0.3698)
Pt (0.0350, 0.5175, 0.8717)

[3]
Density functional theory data (PBE) for a relaxed structure of AcPrPuGe.

Summary:
The value obtained for the energy relative to the elements is 0.08 eV/atom. For the raw total energy, the calculation gives -6.88 eV/atom.

a = 7.750 Å, b = 7.750 Å, c = 7.750 Å
α = 90.00°, β = 90.00°, γ = 90.00°
Space group F-43m (No. 216)
Unique sites:
Ac (0.000, 0.000, 0.000)
Pr (0.250, 0.250, 0.750)
Pu (0.250, 0.250, 0.250)
Ge (0.000, 0.000, 0.500)

[4]
Density functional theory data (PBE) for a relaxed structure of AcPrGeS.

Summary:
The uncorrected formation energy is -1.393 eV per atom. For the raw total energy, the calculation gives -5.80 eV/atom.

a = 4.3741 Å, b = 4.3741 Å, c = 21.3133 Å
α = 90.00°, β = 90.00°, γ = 120.00°
Space group R3m (No. 160, hexagonal axes)
Unique sites:
Ac (0.0000, 0.0000, 0.0000)
Pr (0.0000, 0.0000, 0.4999)
Ge (0.0000, 0.0000, 0.2453)
S (0.0000, 0.0000, 0.7531)

[5]
Density functional theory data (PBE) for a relaxed structure of AcPrGeTe.

Summary:
The uncorrected formation energy is -0.871 eV per atom. For the raw total energy, the calculation gives -5.03 eV/atom.

a = 7.855 Å, b = 7.855 Å, c = 7.855 Å
α = 90.00°, β = 90.00°, γ = 90.00°
Space group F-43m (No. 216)
Unique sites:
Ac (0.000, 0.000, 0.000)
Pr (0.000, 0.000, 0.500)
Ge (0.250, 0.250, 0.750)
Te (0.250, 0.250, 0.250)

[6]
Density functional theory data (PBE) for a relaxed structure of Ac3Ge4Pt2.

Summary:
The value obtained for the energy relative to the elements is -0.96 eV/atom. For the raw total energy, the calculation gives -5.73 eV/atom.

a = 11.828 Å, b = 4.446 Å, c = 8.794 Å
α = 90.00°, β = 99.72°, γ = 90.00°
Space group C2/m (No. 12)
Unique sites:
Ac (0.000, 0.000, 0.000)
Ac (0.166, 0.500, 0.661)
Ge (0.056, 0.000, 0.385)
Ge (0.229, 0.500, 0.072)
Pt (0.104, 0.500, 0.277)

[7]
Density functional theory data (PBE) for a relaxed structure of Ac4Ge2Pt.

Summary:
The value obtained for the energy relative to the elements is -0.47 eV/atom. For the raw total energy, the calculation gives -5.00 eV/atom.

a = 5.608 Å, b = 5.608 Å, c = 16.781 Å
α = 90.00°, β = 90.00°, γ = 90.00°
Space group I4/mmm (No. 139)
Unique sites:
Ac (0.000, 0.000, 0.188)
Ac (0.000, 0.500, 0.000)
Ge (0.000, 0.000, 0.373)
Pt (0.000, 0.000, 0.000)

[8]
Density functional theory data (PBE) for a relaxed structure of Ac2GePt3.

Summary:
The value obtained for the energy relative to the elements is -1.06 eV/atom. For the raw total energy, the calculation gives -6.22 eV/atom.

a = 4.166 Å, b = 4.447 Å, c = 7.975 Å
α = 90.00°, β = 90.00°, γ = 90.00°
Space group Pmm2 (No. 25)
Unique sites:
Ac (0.000, 0.000, 0.000)
Ac (0.000, 0.500, 0.477)
Ge (0.500, 0.500, 0.810)
Pt (0.500, 0.000, 0.329)
Pt (0.500, 0.000, 0.671)
Pt (0.500, 0.500, 0.124)

[9]
Density functional theory data (PBE) for a relaxed structure of Ac2Ge2Pt5.

Summary:
The value obtained for the energy relative to the elements is -0.84 eV/atom. For the raw total energy, the calculation gives -6.13 eV/atom.

a = 13.520 Å, b = 4.255 Å, c = 7.181 Å
α = 90.00°, β = 96.29°, γ = 90.00°
Space group C2/m (No. 12)
Unique sites:
Ac (0.108, 0.000, 0.302)
Ge (0.174, 0.500, 0.940)
Pt (0.000, 0.500, 0.000)
Pt (0.083, 0.500, 0.608)
Pt (0.199, 0.000, 0.774)

[10]
Density functional theory data (PBE) for a relaxed structure of AcGe12Pt4.

Summary:
The value obtained for the energy relative to the elements is -0.42 eV/atom. For the raw total energy, the calculation gives -5.35 eV/atom.

a = 8.761 Å, b = 8.761 Å, c = 8.761 Å
α = 90.00°, β = 90.00°, γ = 90.00°
Space group Im-3 (No. 204)
Unique sites:
Ac (0.000, 0.000, 0.000)
Ge (0.000, 0.357, 0.152)
Pt (0.250, 0.250, 0.250)

[11]
Density functional theory data (PBE) for a relaxed structure of AcGe3Pt.

Summary:
The value obtained for the energy relative to the elements is -0.75 eV/atom. For the raw total energy, the calculation gives -5.56 eV/atom.

a = 4.631 Å, b = 4.631 Å, c = 10.007 Å
α = 90.00°, β = 90.00°, γ = 90.00°
Space group I4mm (No. 107)
Unique sites:
Ac (0.000, 0.000, 0.000)
Ge (0.000, 0.000, 0.602)
Ge (0.000, 0.500, 0.243)
Pt (0.000, 0.000, 0.351)

[12]
Density functional theory data (PBE) for a relaxed structure of Ac2Ge2Pt3.

Summary:
The value obtained for the energy relative to the elements is -0.90 eV/atom. For the raw total energy, the calculation gives -5.98 eV/atom.

a = 11.052 Å, b = 4.440 Å, c = 6.825 Å
α = 90.00°, β = 104.07°, γ = 90.00°
Space group C2/m (No. 12)
Unique sites:
Ac (0.121, 0.000, 0.286)
Ge (0.188, 0.000, 0.813)
Pt (0.000, 0.500, 0.500)
Pt (0.106, 0.500, 0.907)

Number 1: volume 429.5 Å³ per cell. Number 2: volume 1196.2 Å³ per cell. Number 3: volume 465.4 Å³ per cell. Number 4: volume 353.2 Å³ per cell. Number 5: volume 484.6 Å³ per cell. Number 6: volume 455.8 Å³ per cell. Number 7: volume 527.7 Å³ per cell. Number 8: volume 147.7 Å³ per cell. Number 9: volume 410.6 Å³ per cell. Number 10: volume 672.5 Å³ per cell. Number 11: volume 214.6 Å³ per cell. Number 12: volume 324.9 Å³ per cell.